1.
Density functional theory data (PBE) for a relaxed structure of MnTcRh2.

abc: 2.7315 3.7946 5.3951
angles: 90.00 90.00 90.00
Closest atoms and distances in Å follow each position.
Space group Pmmm (No. 47)
Unique sites:
Mn  0.0000  0.0000  0.0000 (multiplicity 1)  2 Tc 2.70, 8 Rh 2.70, 2 Mn 2.73
Tc  0.0000  0.0000  0.5000 (multiplicity 1)  2 Mn 2.70, 8 Rh 2.70, 2 Tc 2.73
Rh  0.5000  0.5000  0.2501 (multiplicity 2)  4 Rh 2.70-2.73, 4 Tc 2.70, 4 Mn 2.70

Volume (Å³/f.u.): 56
Final energy (eV per atom): -8.660
Formation enthalpy at 0 K (meV/atom): -100

***

2.
Density functional theory data (PBE) for a relaxed structure of CaNd2Pa2Ru5.

abc: 10.6798 10.6798 3.9270
angles: 90.00 90.00 90.00
Closest atoms and distances in Å follow each position.
Space group P4/mbm (No. 127)
Unique sites:
Ca  0.0000  0.0000  0.0000 (multiplicity 2)  8 Ru 3.22
Nd  0.1778  0.3222  0.0000 (multiplicity 4)  3 Pa 2.99-3.27, 2 Ru 3.33
Pa  0.1240  0.6240  0.0000 (multiplicity 4)  6 Ru 2.58-2.71
Ru  0.0000  0.5000  0.5000 (multiplicity 2)  4 Pa 2.71, 4 Ru 3.00
Ru  0.0713  0.7720  0.5000 (multiplicity 8)  2 Pa 2.58

Volume (Å³/f.u.): 224
Final energy (eV per atom): -7.843
Formation enthalpy at 0 K (meV/atom): -152

***

3.
Density functional theory data (PBE) for a relaxed structure of Si2IrW.

abc: 2.8860 2.8860 23.9863
angles: 90.00 90.00 120.00
Closest atoms and distances in Å follow each position.
Space group R3m (No. 160, hexagonal axes)
Unique sites:
Si  0.0000  0.0000  0.0000 (multiplicity 3)  3 Ir 2.48, 3 Si 2.53
Si  0.0000  0.0000  0.2542 (multiplicity 3)  3 Si 2.53, 3 W 2.62
Ir  0.0000  0.0000  0.7430 (multiplicity 3)  3 Si 2.48
W  0.0000  0.0000  0.5031 (multiplicity 3)  3 Si 2.62, 3 Ir 2.79, 6 W 2.89

Volume (Å³/f.u.): 58
Final energy (eV per atom): -8.217
Energy relative to the elements, uncorrected (eV per atom): -0.05

***

4.
Density functional theory data (PBE) for a relaxed structure of ZnSbTeO6.

abc: 5.3441 5.3441 9.1968
angles: 90.00 90.00 120.00
Closest atoms and distances in Å follow each position.
Space group P-31c (No. 163)
Unique sites:
Zn  0.0000  0.0000  0.0000 (multiplicity 2)  6 O 2.23
Sb  0.3333  0.6667  0.2500 (multiplicity 2)  6 O 2.03
Te  0.3333  0.6667  0.7500 (multiplicity 2)  6 O 2.07
O  0.0055  0.3529  0.1315 (multiplicity 12)  1 Sb 2.03, 1 Te 2.07, 1 Zn 2.23

Volume (Å³/f.u.): 114
Final energy (eV per atom): -5.353
Energy relative to the elements, uncorrected (eV per atom): -1.10

***

5.
Density functional theory data (PBE) for a relaxed structure of Re2TcTe.

abc: 3.7987 3.7987 4.5823
angles: 90.00 90.00 90.00
Closest atoms and distances in Å follow each position.
Space group P4/mmm (No. 123)
Unique sites:
Re  0.0000  0.5000  0.0000 (multiplicity 2)  4 Re 2.69, 4 Tc 2.98, 4 Te 2.98
Tc  0.0000  0.0000  0.5000 (multiplicity 1)  4 Te 2.69, 8 Re 2.98
Te  0.5000  0.5000  0.5000 (multiplicity 1)  4 Tc 2.69, 8 Re 2.98

Volume (Å³/f.u.): 66
Final energy (eV per atom): -8.728
Energy relative to the elements, uncorrected (eV per atom): 0.87

***

6.
Density functional theory data (PBE) for a relaxed structure of NaAgRh2.

abc: 6.4055 6.4055 6.4055
angles: 90.00 90.00 90.00
Closest atoms and distances in Å follow each position.
Space group Fm-3m (No. 225)
Unique sites:
Na  0.0000  0.0000  0.0000 (multiplicity 4)  8 Rh 2.77
Ag  0.0000  0.0000  0.5000 (multiplicity 4)  8 Rh 2.77
Rh  0.2500  0.2500  0.2500 (multiplicity 8)  4 Na 2.77, 4 Ag 2.77

Volume (Å³/f.u.): 66
Final energy (eV per atom): -4.152
Formation enthalpy at 0 K (meV/atom): 566

***

7.
Density functional theory data (PBE) for a relaxed structure of K3U3TaSe8.

abc: 8.0932 8.0932 23.9871
angles: 90.00 90.00 120.00
Closest atoms and distances in Å follow each position.
Space group R-3m (No. 166, hexagonal axes)
Unique sites:
K  0.0000  0.5000  0.0000 (multiplicity 9)  6 Se 3.28-3.31
U  0.0000  0.5000  0.5000 (multiplicity 9)  6 Se 2.89
Ta  0.0000  0.0000  0.5000 (multiplicity 3)  6 Se 2.70
Se  0.0000  0.0000  0.2376 (multiplicity 6)  3 U 2.89
Se  0.0213  0.5106  0.2326 (multiplicity 18)  1 Ta 2.70, 2 U 2.89

Volume (Å³/f.u.): 454
Final energy (eV per atom): -6.250
Energy relative to the elements, uncorrected (eV per atom): -1.12

***

8.
Density functional theory data (PBE) for a relaxed structure of CsSiTe3.

abc: 8.7499 14.1714 13.7108
angles: 90.00 100.79 90.00
Closest atoms and distances in Å follow each position.
Space group Cc (No. 9)
Unique sites:
Cs  0.0000  0.0874  0.0000 (multiplicity 4)  7 Te 3.91-4.29
Cs  0.4134  0.2511  0.2201 (multiplicity 4)  7 Te 3.90-4.33
Si  0.0464  0.4449  0.0223 (multiplicity 4)  4 Te 2.46-2.60
Si  0.4128  0.0756  0.7785 (multiplicity 4)  4 Te 2.50-2.57
Te  0.0252  0.3836  0.4588 (multiplicity 4)  2 Si 2.55-2.58
Te  0.1361  0.4972  0.2057 (multiplicity 4)  2 Si 2.57-2.60
Te  0.1810  0.0272  0.2796 (multiplicity 4)  1 Si 2.50
Te  0.2337  0.3454  0.9562 (multiplicity 4)  1 Si 2.46
Te  0.2718  0.1304  0.4950 (multiplicity 4)  1 Si 2.59
Te  0.3502  0.2288  0.6852 (multiplicity 4)  1 Si 2.53

Volume (Å³/f.u.): 209
Final energy (eV per atom): -3.619
Energy relative to the elements, uncorrected (eV per atom): -0.48